Record 1
The following is a DFT calculation (meta-GGA SCAN) of KBeF3 at its PBEsol-relaxed geometry.

CIF file:
```
data_KBeF3
_cell_length_a 4.4549
_cell_length_b 5.4378
_cell_length_c 12.0203
_cell_angle_alpha 90.00
_cell_angle_beta 90.00
_cell_angle_gamma 90.00
_symmetry_space_group_name_H-M 'P 21 21 21'
_symmetry_Int_Tables_number 19
_symmetry_space_group_name_Hall 'P 2ac 2ab'
loop_
_atom_site_label
_atom_site_fract_x
_atom_site_fract_y
_atom_site_fract_z
K1 0.2242 0.1839 0.3595
Be1 0.1613 0.8001 0.5710
F1 0.1905 0.2839 0.9557
F2 0.2338 0.0696 0.5917
F3 0.2336 0.6194 0.6634
```

Summary:
Total energy, eV per atom: -8.006
Total magnetic moment, μB/f.u.: 0.069

=====

Record 2
The following is a DFT calculation (meta-GGA SCAN) of KRb2Ba at its PBEsol-relaxed geometry.

CIF file:
```
data_KRb2Ba
_cell_length_a 10.6134
_cell_length_b 10.6134
_cell_length_c 10.6134
_cell_angle_alpha 90.00
_cell_angle_beta 90.00
_cell_angle_gamma 90.00
_symmetry_space_group_name_H-M 'F m -3 m'
_symmetry_Int_Tables_number 225
_symmetry_space_group_name_Hall '-F 4 2 3'
loop_
_atom_site_label
_atom_site_fract_x
_atom_site_fract_y
_atom_site_fract_z
K1 0.0000 0.0000 0.0000
Rb1 0.2500 0.2500 0.2500
Ba1 0.0000 0.0000 0.5000
```

Summary:
Total energy, eV per atom: -22.193
E_form, kJ/mol of atoms: 14
Total magnetic moment, μB/f.u.: 0.000